Entry 1:
A geometry-optimized Ag4N structure, computed with PBE-GGA.

Lattice parameters (Å, degrees): 4.389 4.389 4.389 90.00 90.00 90.00
Element x y z (fractional)
Ag  0.500  0.000  0.500
Ag  0.000  0.000  0.000
Ag  0.500  0.500  0.000
Ag  0.000  0.500  0.500
N  0.500  0.500  0.500

Properties
- ΔE_f (raw): 0.59 eV per atom

Entry 2:
A geometry-optimized Nd4TlCd2Hg structure, computed with PBE-GGA.

Lattice parameters (Å, degrees): 5.466 5.466 9.481 73.25 73.25 60.00
Last column: magnetic moment on the atom in μB.
Element x y z (fractional)
Hg  0.500  0.500  0.500  0.03
Nd  0.873  0.873  0.380  0.23
Nd  0.623  0.623  0.130  0.18
Nd  0.127  0.127  0.620  0.23
Nd  0.377  0.377  0.870  0.18
Cd  0.749  0.749  0.752  0.02
Cd  0.251  0.251  0.248  0.02
Tl  0.000  0.000  0.000  0.00

Properties
- ΔH_f (0 K): -0.3720 eV per atom

Entry 3:
A geometry-optimized Tm3ThSc7 structure, computed with PBE-GGA.

Lattice parameters (Å, degrees): 5.495 7.936 7.936 81.40 110.16 110.16
Element x y z (fractional)
Sc  0.000  0.500  0.500
Sc  0.206  0.207  0.207
Sc  0.284  0.978  0.591
Sc  0.716  0.022  0.409
Sc  0.716  0.409  0.022
Sc  0.794  0.793  0.793
Sc  0.284  0.591  0.978
Tm  0.000  0.792  0.208
Tm  0.500  0.000  0.000
Tm  0.000  0.208  0.792
Th  0.500  0.500  0.500

Properties
- ΔH_f (0 K): 0.3365 eV per atom

Entry 4:
A geometry-optimized RbTmCdBr6 structure, computed with PBE-GGA.

Lattice parameters (Å, degrees): 7.276 7.276 15.287 90.00 90.00 120.00
Element x y z (fractional)
Br  0.377  0.373  0.856
Br  0.627  0.623  0.644
Br  0.627  0.004  0.856
Br  0.623  0.627  0.144
Br  0.373  0.377  0.356
Br  0.004  0.627  0.356
Br  0.004  0.377  0.144
Br  0.373  0.996  0.144
Br  0.377  0.004  0.644
Br  0.623  0.996  0.356
Br  0.996  0.373  0.644
Br  0.996  0.623  0.856
Tm  0.667  0.333  0.750
Tm  0.333  0.667  0.250
Cd  0.667  0.333  0.250
Cd  0.333  0.667  0.750
Rb  0.000  0.000  0.500
Rb  0.000  0.000  0.000

Properties
- ΔE_f (raw): -1.52 eV per atom

Entry 5:
A geometry-optimized Cr2CuIr structure, computed with PBE-GGA.

Lattice parameters (Å, degrees): 8.635 8.635 8.635 17.60 17.60 17.60
Element x y z (fractional)
Ir  0.750  0.750  0.750
Cr  0.500  0.500  0.500
Cr  0.000  0.000  0.000
Cu  0.250  0.250  0.250

Properties
- ΔH_f (0 K): 0.2050 eV per atom

Entry 6:
A geometry-optimized TbSmScAg structure, computed with PBE-GGA.

Lattice parameters (Å, degrees): 3.548 3.548 8.479 90.00 90.00 90.00
Element x y z (fractional)
Ag  0.000  0.000  0.549
Sc  0.500  0.500  0.366
Sm  0.000  0.000  0.088
Tb  0.500  0.500  0.782

Properties
- ΔH_f (0 K): -0.1026 eV per atom
- Energy above the most stable polymorph in this dataset: 0.00 eV/f.u.

Entry 7:
A geometry-optimized Ba2SmHg structure, computed with PBE-GGA.

Lattice parameters (Å, degrees): 4.080 4.080 10.016 90.00 90.00 90.00
Last column: magnetic moment on the atom in μB.
Element x y z (fractional)
Hg  0.500  0.500  0.000  0.00
Sm  0.500  0.500  0.500  0.40
Ba  0.000  0.000  0.213  0.06
Ba  0.000  0.000  0.787  0.06

Properties
- ΔH_f (0 K): -0.0898 eV per atom
- Energy above the most stable polymorph in this dataset: 0.00 eV/f.u.

Entry 8:
A geometry-optimized LaTi2Cd2 structure, computed with PBE-GGA.

Lattice parameters (Å, degrees): 8.479 8.479 3.161 90.00 90.00 90.00
Last column: magnetic moment on the atom in μB.
Element x y z (fractional)
Cd  0.377  0.877  0.000  0.01
Cd  0.623  0.123  0.000  0.01
Cd  0.877  0.623  0.000  0.01
Cd  0.123  0.377  0.000  0.01
Ti  0.174  0.674  0.500  0.30
Ti  0.674  0.826  0.500  0.29
Ti  0.826  0.326  0.500  0.30
Ti  0.326  0.174  0.500  0.29
La  0.000  0.000  0.000  -0.02
La  0.500  0.500  0.000  -0.02

Properties
- ΔH_f (0 K): 0.1878 eV per atom
- Energy above the most stable polymorph in this dataset: 0.60 eV/f.u.

Entry 9:
A geometry-optimized Bi2Te2N structure, computed with PBE-GGA.

Lattice parameters (Å, degrees): 6.597 6.597 6.497 90.00 90.00 90.00
Element x y z (fractional)
N  0.500  0.500  0.000
N  0.000  0.000  0.000
Te  0.841  0.341  0.500
Te  0.341  0.159  0.500
Te  0.159  0.659  0.500
Te  0.659  0.841  0.500
Bi  0.189  0.689  0.000
Bi  0.689  0.811  0.000
Bi  0.811  0.311  0.000
Bi  0.311  0.189  0.000

Properties
- Energy above the most stable polymorph in this dataset: 0.00 eV/f.u.
- ΔE_f (raw): 0.49 eV per atom

Entry 10:
A geometry-optimized Zr3TiN3 structure, computed with PBE-GGA.

Lattice parameters (Å, degrees): 6.911 6.911 6.155 55.84 55.84 60.00
Element x y z (fractional)
Zr  0.347  0.153  0.750
Zr  0.750  0.347  0.750
Zr  0.847  0.250  0.250
Zr  0.653  0.847  0.250
Zr  0.250  0.653  0.250
Zr  0.153  0.750  0.750
N  0.030  0.470  0.750
N  0.970  0.530  0.250
N  0.750  0.030  0.750
N  0.470  0.750  0.750
N  0.250  0.970  0.250
N  0.530  0.250  0.250
Ti  0.750  0.750  0.750
Ti  0.250  0.250  0.250

Properties
- ΔE_f (raw): -1.18 eV per atom

Entry 11:
A geometry-optimized Ba3PaBe2O6 structure, computed with PBE-GGA.

Lattice parameters (Å, degrees): 5.762 5.762 7.817 90.00 90.00 120.00
Last column: magnetic moment on the atom in μB.
Element x y z (fractional)
Ba  0.333  0.667  0.718  0.06
Ba  0.000  0.000  0.000  0.10
Ba  0.667  0.333  0.282  0.06
Be  0.667  0.333  0.709  0.00
Be  0.333  0.667  0.291  0.00
O  0.823  0.177  0.674  0.00
O  0.177  0.823  0.326  0.00
O  0.354  0.177  0.674  0.00
O  0.823  0.646  0.674  0.00
O  0.177  0.354  0.326  0.00
O  0.646  0.823  0.326  0.00
Pa  0.000  0.000  0.500  0.52

Properties
- ΔE_f (raw): -2.60 eV per atom

Entry 12:
A geometry-optimized CePuIr structure, computed with PBE-GGA.

Lattice parameters (Å, degrees): 5.811 4.782 5.624 115.16 104.16 90.00
Last column: magnetic moment on the atom in μB.
Element x y z (fractional)
Pu  0.782  0.064  0.127  5.20
Pu  0.218  0.936  0.873  5.20
Ce  0.298  0.626  0.253  0.47
Ce  0.702  0.374  0.747  0.47
Ir  0.196  0.278  0.555  -0.16
Ir  0.804  0.722  0.445  -0.16

Properties
- ΔH_f (0 K): -0.4623 eV per atom
- Energy above the most stable polymorph in this dataset: 0.06 eV/f.u.

no.,DOS at the Fermi energy (states/eV/cell)
1,1.8
2,9.2
3,19.6
4,0.0
5,3.6
6,6.2
7,5.6
8,15.2
9,3.7
10,9.5
11,5.1
12,14.5